1.
First-principles (PBE+U) data for a relaxed structure of V2Cu3H6O11, as listed in the Alexandria database.

Results
electronic total energy: -5.77 eV per atom

Cell: 6.264 6.264 7.228 Å, 82.82 97.18 123.81°
Last column: magnetic moment on the atom in μB.
Fractional coordinates of all 22 atoms:
1 H 0.145 0.855 0.743  0.00
2 H 0.990 0.269 0.558  0.00
3 H 0.855 0.145 0.257  0.00
4 H 0.731 0.010 0.558  0.00
5 H 0.269 0.990 0.442  0.00
6 H 0.010 0.731 0.442  0.00
7 O 0.192 0.334 0.808  -0.01
8 O 0.808 0.666 0.192  -0.01
9 O 0.341 0.659 0.141  0.11
10 O 0.163 0.837 0.525  0.00
11 O 0.659 0.341 0.859  0.11
12 O 0.151 0.849 0.886  0.07
13 O 0.666 0.808 0.808  -0.01
14 O 0.500 0.500 0.500  0.00
15 O 0.837 0.163 0.475  0.00
16 O 0.334 0.192 0.192  -0.01
17 O 0.849 0.151 0.114  0.07
18 Cu 0.000 0.500 0.000  0.51
19 Cu 0.500 0.000 0.000  0.51
20 Cu 0.000 0.000 0.000  -0.42
21 V 0.497 0.503 0.251  0.01
22 V 0.503 0.497 0.749  0.01

=====

2.
First-principles (PBE+U) data for a relaxed structure of V2Cu3H6O11, as listed in the Alexandria database.

Results
electronic total energy: -5.77 eV per atom

Cell: 5.924 8.983 10.176 Å, 69.96 73.08 70.75°
Last column: magnetic moment on the atom in μB.
Fractional coordinates of all 44 atoms:
1 O 0.922 0.146 0.015  0.06
2 O 0.078 0.810 0.957  0.02
3 O 0.817 0.592 0.290  0.21
4 O 0.601 0.247 0.253  0.00
5 O 0.579 0.849 0.990  0.06
6 O 0.684 0.402 0.713  0.21
7 O 0.333 0.585 0.270  0.13
8 O 0.473 0.928 0.602  0.00
9 O 0.423 0.185 0.047  0.02
10 O 0.201 0.902 0.213  0.21
11 O 0.917 0.646 0.515  0.06
12 O 0.026 0.068 0.400  0.01
13 O 0.582 0.349 0.490  0.06
14 O 0.506 0.568 0.900  0.01
15 O 0.155 0.310 0.457  0.02
16 O 0.344 0.685 0.547  0.02
17 O 0.168 0.409 0.734  0.13
18 O 0.900 0.747 0.753  0.00
19 O 0.300 0.092 0.790  0.21
20 O 0.689 0.909 0.234  0.13
21 O 0.997 0.428 0.102  0.00
22 O 0.812 0.085 0.770  0.13
23 H 0.617 0.633 0.891  0.00
24 H 0.363 0.016 0.725  0.00
25 H 0.642 0.865 0.607  0.00
26 H 0.161 0.353 0.082  0.00
27 H 0.341 0.642 0.921  0.00
28 H 0.886 0.365 0.107  0.00
29 H 0.138 0.979 0.279  0.00
30 H 0.096 0.142 0.421  0.00
31 H 0.896 0.516 0.225  0.00
32 H 0.860 0.133 0.391  0.00
33 H 0.403 0.853 0.582  0.00
34 H 0.604 0.479 0.779  0.00
35 Cu 0.250 0.997 0.002  0.60
36 Cu 0.513 0.749 0.246  0.58
37 Cu 0.987 0.246 0.758  0.58
38 Cu 0.009 0.746 0.258  0.58
39 Cu 0.750 0.497 0.502  0.60
40 Cu 0.492 0.249 0.746  0.58
41 V 0.409 0.374 0.369  0.04
42 V 0.653 0.120 0.135  0.04
43 V 0.091 0.620 0.635  0.04
44 V 0.848 0.874 0.869  0.04

=====

3.
First-principles (PBE+U) data for a relaxed structure of V2Cu3H6O11, as listed in the Alexandria database.

Results
electronic total energy: -5.77 eV per atom

Cell: 5.837 6.259 7.255 Å, 96.63 90.00 62.20°
Last column: magnetic moment on the atom in μB.
Fractional coordinates of all 22 atoms:
1 Cu 0.995 0.000 0.000  -0.41
2 Cu 0.996 0.498 0.000  0.50
3 Cu 0.494 0.502 0.000  0.50
4 O 0.841 0.304 0.885  0.07
5 O 0.792 0.357 0.525  0.00
6 O 0.331 0.860 0.817  -0.01
7 O 0.191 0.140 0.183  -0.01
8 O 0.485 0.000 0.500  0.00
9 O 0.148 0.643 0.475  0.00
10 O 0.146 0.696 0.115  0.07
11 O 0.656 0.678 0.144  0.11
12 O 0.671 0.137 0.197  -0.01
13 O 0.335 0.322 0.856  0.11
14 O 0.807 0.863 0.803  -0.01
15 H 0.321 0.595 0.520  0.00
16 H 0.029 0.743 0.584  0.00
17 H 0.135 0.704 0.256  0.00
18 H 0.839 0.296 0.744  0.00
19 H 0.773 0.257 0.416  0.00
20 H 0.916 0.405 0.480  0.00
21 V 0.489 0.010 0.748  0.01
22 V 0.499 0.990 0.252  0.01

=====

no.,D(E_F) (states/eV/f.u.)
1,3.35
2,3.55
3,4.04